## SrAc4Pb2 (GGA-PBE)

Data for an optimized crystal structure of SrAc4Pb2.

a b c (Å): 7.9292 7.9952 9.9126
angles (deg): 102.96 102.69 97.00
Closest atoms and distances in Å follow each position.
Space group P1 (No. 1)
Unique sites:
Sr (0.0000, 0.0000, 0.0000) x1  3 Pb 3.45-3.53, 1 Ac 3.85
Sr (0.1900, 0.8067, 0.5032) x1  3 Pb 3.45-3.51, 1 Ac 3.85
Ac (0.1877, 0.2745, 0.4309) x1  3 Pb 3.39-3.66, 2 Ac 3.73-3.79
Ac (0.2584, 0.5101, 0.1058) x1  4 Pb 3.46-3.73
Ac (0.4673, 0.9927, 0.9324) x1  3 Pb 3.40-3.64, 2 Ac 3.72-3.78
Ac (0.4918, 0.5209, 0.7819) x1  3 Pb 3.38-3.48, 2 Ac 3.73-3.78
Ac (0.7029, 0.0652, 0.6071) x1  4 Pb 3.45-3.73
Ac (0.7102, 0.2977, 0.2833) x1  3 Pb 3.37-3.47, 1 Ac 3.72
Ac (0.7419, 0.7655, 0.2113) x1  3 Pb 3.55-3.73, 1 Sr 3.85, 2 Ac 3.92-3.95
Ac (0.9576, 0.5442, 0.7129) x1  3 Pb 3.54-3.76, 1 Sr 3.85, 2 Ac 3.89-3.90
Pb (0.1602, 0.1820, 0.7534) x1  6 Ac 3.40-3.73, 2 Sr 3.50-3.51
Pb (0.3724, 0.9622, 0.2540) x1  6 Ac 3.39-3.73, 2 Sr 3.50-3.53
Pb (0.5549, 0.6224, 0.4714) x1  7 Ac 3.37-3.76, 1 Sr 3.45
Pb (0.8107, 0.3609, 0.9732) x1  7 Ac 3.38-3.73, 1 Sr 3.45

## La2Pm3SmEr6 (GGA-PBE)

Data for an optimized crystal structure of La2Pm3SmEr6.

a b c (Å): 6.2449 10.8140 11.7817
angles (deg): 90.00 100.16 90.00
Closest atoms and distances in Å follow each position.
Space group C2/m (No. 12)
Unique sites:
La (0.0000, 0.1665, 0.0000) x4  6 Er 3.59, 3 La 3.60-3.61, 3 Sm 3.60-3.61
Pm (0.0000, 0.0000, 0.5000) x2  6 Er 3.55, 6 Pm 3.60-3.61
Pm (0.0000, 0.3334, 0.5000) x4  6 Er 3.55, 6 Pm 3.60-3.61
Sm (0.0000, 0.5000, 0.0000) x2  6 Er 3.58, 6 La 3.60-3.61
Er (0.2484, 0.5000, 0.7481) x4  3 Pm 3.55, 1 Sm 3.58, 2 La 3.59, 6 Er 3.60-3.61
Er (0.2495, 0.1663, 0.7482) x8  3 Pm 3.55, 1 Sm 3.58, 2 La 3.59, 6 Er 3.60-3.61

## Pa2IrRu4 (GGA-PBE)

Data for an optimized crystal structure of Pa2IrRu4.

a b c (Å): 5.3437 5.3537 9.7355
angles (deg): 89.93 89.91 60.46
Closest atoms and distances in Å follow each position.
Space group P-1 (No. 2)
Unique sites:
Pa (0.1591, 0.1596, 0.0376) x2  2 Ru 2.60-2.61
Pa (0.3407, 0.3400, 0.5374) x2  2 Ru 2.60-2.61
Ir (0.0000, 0.0000, 0.5000) x1  6 Ru 2.75-2.82
Ir (0.5000, 0.5000, 0.0000) x1  6 Ru 2.75-2.82
Ru (0.2041, 0.7029, 0.2510) x2  6 Ru 2.66-2.78, 2 Ir 2.81-2.82
Ru (0.2100, 0.2108, 0.3000) x2  2 Pa 2.60-2.61, 6 Ru 2.66-2.86, 1 Ir 2.75
Ru (0.2900, 0.2895, 0.8001) x2  2 Pa 2.60-2.61, 6 Ru 2.66-2.86, 1 Ir 2.75
Ru (0.2951, 0.7979, 0.7509) x2  6 Ru 2.66-2.78, 2 Ir 2.81-2.82

no.,energy of formation (eV per formula unit),total energy (eV per atom)
1,-1.623,-3.88
2,0.188,-4.67
3,-2.397,-9.62